Entry from the Alexandria database: a geometry-optimized CrGaF2 structure (PBE+U).

abc: 7.640 7.640 7.640
angles: 25.01 25.01 25.01
Positions (direct):
Cr  0.000  0.000  0.000
Ga  0.500  0.500  0.500
F  0.379  0.379  0.379
F  0.621  0.621  0.621

Properties
Energy above the lowest structure with this stoichiometry in eV per atom: 0.0000
Magnetization in μB/f.u.: 4.26
Space group: R-3m, No. 166
Energy in eV/atom: -5.10